Record 1
# PBE CsHg3F8, optimized geometry
data_CsHg3F8
_chemical_formula_sum 'Cs2 Hg6 F16'
_cell_length_a 15.793
_cell_length_b 4.388
_cell_length_c 7.052
_cell_angle_alpha 90.00
_cell_angle_beta 93.83
_cell_angle_gamma 90.00
_symmetry_space_group_name_H-M 'C 1 m 1'
_symmetry_Int_Tables_number 8
_symmetry_space_group_name_Hall 'C -2y'
loop_
_atom_site_label
_atom_site_fract_x
_atom_site_fract_y
_atom_site_fract_z
Cs1 0.000 0.000 0.000
Hg1 0.151 0.000 0.448
Hg2 0.276 0.000 0.911
Hg3 0.430 0.000 0.456
F1 0.087 0.500 0.393
F2 0.137 0.000 0.745
F3 0.181 0.000 0.159
F4 0.292 0.000 0.585
F5 0.294 0.500 0.921
F6 0.387 0.000 0.162
F7 0.448 0.500 0.438
F8 0.460 0.000 0.750
# D(E_F) = 11.7 states/eV per cell
# V = 487.6 Å³/cell
# ΔE_f (raw) = -1.559 eV per atom
# ΔE to the lowest computed polymorph = 0.000 eV/atom

***

Record 2
# PBE Cs2Hg3F9, optimized geometry
data_Cs2Hg3F9
_chemical_formula_sum 'Cs8 Hg12 F36'
_cell_length_a 10.689
_cell_length_b 13.096
_cell_length_c 9.635
_cell_angle_alpha 90.00
_cell_angle_beta 113.47
_cell_angle_gamma 90.00
_symmetry_space_group_name_H-M 'C 1 2/c 1'
_symmetry_Int_Tables_number 15
_symmetry_space_group_name_Hall '-C 2yc'
loop_
_atom_site_label
_atom_site_fract_x
_atom_site_fract_y
_atom_site_fract_z
Cs1 0.226 0.007 0.269
Hg1 0.080 0.241 0.492
Hg2 0.250 0.250 0.000
F1 0.000 0.175 0.250
F2 0.067 0.357 0.029
F3 0.105 0.128 0.969
F4 0.173 0.273 0.753
F5 0.246 0.136 0.536
# D(E_F) = 18.0 states/eV per cell
# V = 1237.2 Å³/cell
# ΔE_f (raw) = -1.769 eV per atom

***

Record 3
# PBE CsHgF4, optimized geometry
data_CsHgF4
_chemical_formula_sum 'Cs4 Hg4 F16'
_cell_length_a 13.724
_cell_length_b 5.703
_cell_length_c 6.809
_cell_angle_alpha 90.00
_cell_angle_beta 107.05
_cell_angle_gamma 90.00
_symmetry_space_group_name_H-M 'C 1 2/c 1'
_symmetry_Int_Tables_number 15
_symmetry_space_group_name_Hall '-C 2yc'
loop_
_atom_site_label
_atom_site_fract_x
_atom_site_fract_y
_atom_site_fract_z
Cs1 0.000 0.202 0.250
Hg1 0.250 0.250 0.000
F1 0.097 0.342 0.914
F2 0.203 0.039 0.648
# D(E_F) = 0.3 states/eV per cell
# V = 509.5 Å³/cell
# ΔE_f (raw) = -1.759 eV per atom
# ΔE to the lowest computed polymorph = 0.000 eV/atom

***

Record 4
# PBE CsHgF3, optimized geometry
data_CsHgF3
_chemical_formula_sum 'Cs6 Hg6 F18'
_cell_length_a 6.3296
_cell_length_b 6.3296
_cell_length_c 18.9333
_cell_angle_alpha 90.00
_cell_angle_beta 90.00
_cell_angle_gamma 120.00
_symmetry_space_group_name_H-M 'R -3 m'
_symmetry_Int_Tables_number 166
_symmetry_space_group_name_Hall '-R 3 2"'
loop_
_atom_site_label
_atom_site_fract_x
_atom_site_fract_y
_atom_site_fract_z
Cs1 0.0000 0.0000 0.1227
Hg1 0.0000 0.0000 0.3394
F1 0.0123 0.5062 0.9225
# D(E_F) = 0.0 states/eV per cell
# V = 656.9 Å³/cell
# ΔE_f (raw) = -1.972 eV per atom

***

Record 5
# PBE Cs2HgF, optimized geometry
data_Cs2HgF
_chemical_formula_sum 'Cs4 Hg2 F2'
_cell_length_a 4.347
_cell_length_b 7.389
_cell_length_c 10.407
_cell_angle_alpha 102.13
_cell_angle_beta 90.07
_cell_angle_gamma 90.15
_symmetry_space_group_name_H-M 'P 1'
_symmetry_Int_Tables_number 1
_symmetry_space_group_name_Hall 'P 1'
loop_
_atom_site_label
_atom_site_fract_x
_atom_site_fract_y
_atom_site_fract_z
Cs1 0.000 0.000 0.000
Cs2 0.003 0.071 0.397
Cs3 0.496 0.400 0.806
Cs4 0.499 0.559 0.202
Hg1 0.500 0.867 0.666
Hg2 0.998 0.601 0.537
F1 0.501 0.956 0.189
F2 0.997 0.402 0.015
# D(E_F) = 3.4 states/eV per cell
# V = 326.9 Å³/cell
# ΔE_f (raw) = -1.391 eV per atom
# ΔE to the lowest computed polymorph = 0.022 eV/atom

***

Record 6
# PBE CsHg3F9, optimized geometry
data_CsHg3F9
_chemical_formula_sum 'Cs1 Hg3 F9'
_cell_length_a 8.3494
_cell_length_b 8.3494
_cell_length_c 4.3845
_cell_angle_alpha 90.00
_cell_angle_beta 90.00
_cell_angle_gamma 120.00
_symmetry_space_group_name_H-M 'P 6/m m m'
_symmetry_Int_Tables_number 191
_symmetry_space_group_name_Hall '-P 6 2'
loop_
_atom_site_label
_atom_site_fract_x
_atom_site_fract_y
_atom_site_fract_z
Cs1 0.0000 0.0000 0.0000
Hg1 0.0000 0.5000 0.5000
F1 0.0000 0.5000 0.0000
F2 0.1953 0.3906 0.5000
# D(E_F) = 6.4 states/eV per cell
# V = 264.7 Å³/cell
# ΔE_f (raw) = -1.485 eV per atom

***

Record 7
# PBE CsHgF3, optimized geometry
data_CsHgF3
_chemical_formula_sum 'Cs2 Hg2 F6'
_cell_length_a 4.6039
_cell_length_b 4.6039
_cell_length_c 9.9019
_cell_angle_alpha 90.00
_cell_angle_beta 90.00
_cell_angle_gamma 120.00
_symmetry_space_group_name_H-M 'P 63/m m c'
_symmetry_Int_Tables_number 194
_symmetry_space_group_name_Hall '-P 6c 2c'
loop_
_atom_site_label
_atom_site_fract_x
_atom_site_fract_y
_atom_site_fract_z
Cs1 0.3333 0.6667 0.2500
Hg1 0.0000 0.0000 0.0000
F1 0.0000 0.0000 0.2500
F2 0.3333 0.6667 0.5509
# D(E_F) = 0.0 states/eV per cell
# V = 181.8 Å³/cell
# ΔE_f (raw) = -1.710 eV per atom

***

Record 8
# PBE CsHg5F7, optimized geometry
data_CsHg5F7
_chemical_formula_sum 'Cs2 Hg10 F14'
_cell_length_a 6.034
_cell_length_b 8.208
_cell_length_c 11.673
_cell_angle_alpha 90.00
_cell_angle_beta 90.00
_cell_angle_gamma 90.00
_symmetry_space_group_name_H-M 'I m m 2'
_symmetry_Int_Tables_number 44
_symmetry_space_group_name_Hall 'I 2 -2'
loop_
_atom_site_label
_atom_site_fract_x
_atom_site_fract_y
_atom_site_fract_z
Cs1 0.000 0.000 0.000
Hg1 0.000 0.500 0.097
Hg2 0.235 0.262 0.757
F1 0.000 0.000 0.245
F2 0.000 0.000 0.742
F3 0.000 0.313 0.386
F4 0.000 0.326 0.926
F5 0.000 0.500 0.689
# D(E_F) = 4.0 states/eV per cell
# V = 578.1 Å³/cell
# ΔE_f (raw) = -1.247 eV per atom